# CeMnBi2O6

CeMnBi2O6 after structural relaxation (GGA+U, the Alexandria database).

The value obtained for the mass density is 7.596 g/cm³. For the total energy, the calculation gives -7.00 eV/atom.

The structure belongs to space group P1 (No. 1); the cell edges are 5.9679, 5.9732 and 6.0884 Å and the angles 60.63°, 90.00° and 60.04°. Symmetry generates all atoms from Ce at (0.0000, 0.0000, 0.0000), Mn at (0.4998, 0.9998, 0.5001), Bi at (0.2852, 0.4300, 0.8548), Bi at (0.7848, 0.4297, 0.3549), O at (0.1315, 0.1792, 0.1802), O at (0.1934, 0.1744, 0.6795), O at (0.3590, 0.5092, 0.1797), O at (0.6320, 0.5140, 0.6795), O at (0.6880, 0.9530, 0.1793) and O at (0.8532, 0.9538, 0.6788).